Record 1
This record from OQMD describes crystalline MoPd2Au at its relaxed geometry. The functional is PBE.

a b c (Å): 4.4864 4.4864 4.4864
angles (deg): 60.00 60.00 60.00
Last column: nearest neighbours and their distance in Å.
Sites, in units of the cell vectors:
Mo1 0.0000 0.0000 0.0000  4 Pd 2.75, 4 Au 2.75
Pd1 0.2500 0.2500 0.2500  4 Pd 2.75, 4 Mo 2.75
Pd2 0.5000 0.5000 0.5000  4 Au 2.75, 4 Pd 2.75
Au1 0.7500 0.7500 0.7500  4 Mo 2.75, 4 Pd 2.75

## Properties
Crystal system = cubic
Uncorrected energy = -5.93 eV/atom

***

Record 2
This record from OQMD describes crystalline MoPdAu2 at its relaxed geometry. The functional is PBE.

a b c (Å): 4.5577 4.5577 4.5577
angles (deg): 60.00 60.00 60.00
Last column: nearest neighbours and their distance in Å.
Sites, in units of the cell vectors:
Mo1 0.0000 0.0000 0.0000  4 Pd 2.79, 4 Au 2.79
Pd1 0.7500 0.7500 0.7500  4 Mo 2.79, 4 Au 2.79
Au1 0.2500 0.2500 0.2500  4 Mo 2.79, 4 Au 2.79
Au2 0.5000 0.5000 0.5000  4 Pd 2.79, 4 Au 2.79

## Properties
Crystal system = cubic
Uncorrected energy = -5.37 eV/atom

***

| no. | calculated formation energy (eV per atom) | energy above the most stable polymorph in this dataset (meV/atom) |
| --- | --- | --- |
| 1 | 0.185 | 290 |
| 2 | 0.273 | 41 |